Record 1
# PBE LiNi2S4, optimized geometry
data_LiNi2S4
_cell_length_a 6.3261
_cell_length_b 7.0589
_cell_length_c 9.8569
_cell_angle_alpha 90.00
_cell_angle_beta 90.00
_cell_angle_gamma 90.00
_space_group_name_H-M_alt 'I m m a'
_space_group_IT_number 74
_space_group_name_Hall '-I 2b 2'
loop_
_atom_site_label
_atom_site_fract_x
_atom_site_fract_y
_atom_site_fract_z
_atom_site_occupancy
Li1 0.2500 0.2500 0.2500 1
Ni1 0.0000 0.0000 0.0000 1
Ni2 0.0000 0.2500 0.6359 1
S1 0.0000 0.0096 0.7686 1
S2 0.2368 0.2500 0.0055 1
# **Energy**: -4.60 eV per atom



Record 2
# PBE CdSn2Hg, optimized geometry
data_CdSn2Hg
_cell_length_a 8.3376
_cell_length_b 8.3376
_cell_length_c 6.2237
_cell_angle_alpha 90.00
_cell_angle_beta 90.00
_cell_angle_gamma 90.00
_space_group_name_H-M_alt 'I -4 2 d'
_space_group_IT_number 122
_space_group_name_Hall 'I -4 2bw'
loop_
_atom_site_label
_atom_site_fract_x
_atom_site_fract_y
_atom_site_fract_z
_atom_site_occupancy
Cd1 0.0000 0.0000 0.0000 1
Sn1 0.2484 0.2500 0.6250 1
Hg1 0.0000 0.0000 0.5000 1
# **E_form**: 0.103 eV per atom
# **Energy**: -2.20 eV per atom



Record 3
# PBE NbBAsCl2, optimized geometry
data_NbBAsCl2
_cell_length_a 4.2251
_cell_length_b 4.2251
_cell_length_c 4.7415
_cell_angle_alpha 90.00
_cell_angle_beta 90.00
_cell_angle_gamma 90.00
_space_group_name_H-M_alt 'P 4/m m m'
_space_group_IT_number 123
_space_group_name_Hall '-P 4 2'
loop_
_atom_site_label
_atom_site_fract_x
_atom_site_fract_y
_atom_site_fract_z
_atom_site_occupancy
Nb1 0.0000 0.0000 0.0000 1
B1 0.5000 0.5000 0.5000 1
As1 0.5000 0.5000 0.0000 1
Cl1 0.0000 0.5000 0.5000 1
# **Energy**: -4.27 eV per atom



Repeat the first record exactly.
# PBE LiNi2S4, optimized geometry
data_LiNi2S4
_cell_length_a 6.3261
_cell_length_b 7.0589
_cell_length_c 9.8569
_cell_angle_alpha 90.00
_cell_angle_beta 90.00
_cell_angle_gamma 90.00
_space_group_name_H-M_alt 'I m m a'
_space_group_IT_number 74
_space_group_name_Hall '-I 2b 2'
loop_
_atom_site_label
_atom_site_fract_x
_atom_site_fract_y
_atom_site_fract_z
_atom_site_occupancy
Li1 0.2500 0.2500 0.2500 1
Ni1 0.0000 0.0000 0.0000 1
Ni2 0.0000 0.2500 0.6359 1
S1 0.0000 0.0096 0.7686 1
S2 0.2368 0.2500 0.0055 1
# **Energy**: -4.60 eV per atom